Here is CeTh3TcAu after structural relaxation from Alexandria via LeMat-Bulk. Energies are from PBE.

Computed properties:
For the spin magnetization, the calculation gives 0.000 μB per cell. As for the uncorrected energy: -86.5 eV per cell.

Lattice parameters (Å, degrees): 8.9370 4.4721 8.9830 90.00 117.16 90.00
Fractional coordinates of all 12 atoms:
Ce  0.1032  0.2500  0.0459
Ce  0.8968  0.7500  0.9541
Th  0.0807  0.2500  0.3636
Th  0.3642  0.7500  0.0128
Th  0.4518  0.7500  0.6318
Th  0.5482  0.2500  0.3682
Th  0.6358  0.2500  0.9872
Th  0.9193  0.7500  0.6364
Tc  0.2871  0.7500  0.2941
Tc  0.7129  0.2500  0.7059
Au  0.2147  0.2500  0.7350
Au  0.7853  0.7500  0.2650

---

Here is BaAl2 after structural relaxation from Alexandria via LeMat-Bulk. Energies are from PBE.

Computed properties:
For the spin magnetization, the calculation gives 0.000 μB per cell. As for the uncorrected energy: -20.0 eV per cell.

Lattice parameters (Å, degrees): 9.2480 9.2480 4.6291 90.00 90.00 151.91
Fractional coordinates of all 6 atoms:
Ba  0.1004  0.8996  0.7500
Ba  0.8996  0.1004  0.2500
Al  0.2516  0.7484  0.2500
Al  0.3356  0.6644  0.7500
Al  0.6644  0.3356  0.2500
Al  0.7484  0.2516  0.7500

---

Here is RbHgPdF6 after structural relaxation from Alexandria via LeMat-Bulk. Energies are from PBE.

Computed properties:
The calculation puts the uncorrected formation energy at -1.70 eV per atom. For the spin magnetization, the calculation gives 1.000 μB per cell. As for the uncorrected energy: -33.0 eV per cell.

Lattice parameters (Å, degrees): 5.6608 5.9300 5.9328 116.86 90.68 90.73
Fractional coordinates of all 9 atoms:
Rb  0.0000  0.0000  0.0000
Hg  0.5000  0.3259  0.6741
Pd  0.4993  0.6679  0.3319
F  0.2836  0.9781  0.6085
F  0.3078  0.6543  0.0419
F  0.3110  0.3875  0.3458
F  0.6881  0.6553  0.6124
F  0.6902  0.9580  0.3442
F  0.7150  0.3908  0.0217

---

Question: Which of these has the lowest uncorrected energy?
Answer: CeTh3TcAu